This record from Alexandria describes an optimized crystal structure of KHoH. The functional is GGA-PBE.

E = -2.891 eV/atom

The structure in CIF format:
```
data_KHoH
_cell_length_a 13.809
_cell_length_b 3.562
_cell_length_c 6.167
_cell_angle_alpha 90.00
_cell_angle_beta 90.00
_cell_angle_gamma 90.00
_symmetry_space_group_name_H-M 'A m m 2'
_symmetry_Int_Tables_number 38
loop_
_symmetry_equiv_pos_as_xyz
'x,y,z'
'-x,-y,z'
'-x,y,z'
'x,-y,z'
'x,y+1/2,z+1/2'
'-x,-y+1/2,z+1/2'
'-x,y+1/2,z+1/2'
'x,-y+1/2,z+1/2'
loop_
_atom_site_label
_atom_site_type_symbol
_atom_site_fract_x
_atom_site_fract_y
_atom_site_fract_z
_atom_site_occupancy
K1 K 0.128 0.000 0.000 1
Ho1 Ho 0.388 0.000 0.666 1
H1 H 0.000 0.000 0.666 1
H2 H 0.500 0.000 0.999 1
```

=====

This record from Alexandria describes an optimized crystal structure of Tb6Ho12Zr. The functional is GGA-PBE.

ΔE_f = 297 kJ/mol of formula units
Relative energy among the computed polymorphs = 0.000 eV/atom
E = -4.641 eV/atom

The structure in CIF format:
```
data_Tb6Ho12Zr
_cell_length_a 11.8012
_cell_length_b 11.8012
_cell_length_c 14.9043
_cell_angle_alpha 90.00
_cell_angle_beta 90.00
_cell_angle_gamma 120.00
_symmetry_space_group_name_H-M 'R -3'
_symmetry_Int_Tables_number 148
_symmetry_space_group_name_Hall '-R 3'
loop_
_atom_site_label
_atom_site_type_symbol
_atom_site_fract_x
_atom_site_fract_y
_atom_site_fract_z
_atom_site_occupancy
Tb1 Tb 0.0176 0.5907 0.1815 1
Ho1 Ho 0.0113 0.1742 0.6873 1
Ho2 Ho 0.0491 0.1926 0.9141 1
Zr1 Zr 0.0000 0.0000 0.5000 1
```

=====

This record from Alexandria describes an optimized crystal structure of CdSb2Rh. The functional is GGA-PBE.

E_form (uncorrected) = 5.87 kcal/mol of atoms
E = -3.873 eV/atom

The structure in CIF format:
```
data_CdSb2Rh
_cell_length_a 7.043
_cell_length_b 7.043
_cell_length_c 7.043
_cell_angle_alpha 90.00
_cell_angle_beta 90.00
_cell_angle_gamma 90.00
_symmetry_space_group_name_H-M 'F -4 3 m'
_symmetry_Int_Tables_number 216
_symmetry_space_group_name_Hall 'F -4 2 3'
loop_
_atom_site_label
_atom_site_type_symbol
_atom_site_fract_x
_atom_site_fract_y
_atom_site_fract_z
_atom_site_occupancy
Cd1 Cd 0.000 0.000 0.000 1
Sb1 Sb 0.000 0.000 0.500 1
Sb2 Sb 0.250 0.250 0.750 1
Rh1 Rh 0.250 0.250 0.250 1
```

=====

This record from Alexandria describes an optimized crystal structure of PmGaGe3. The functional is GGA-PBE.

ΔE_f = -136 kJ/mol of formula units
E = -4.607 eV/atom

The structure in CIF format:
```
data_PmGaGe3
_cell_length_a 4.103
_cell_length_b 26.732
_cell_length_c 4.019
_cell_angle_alpha 90.00
_cell_angle_beta 90.00
_cell_angle_gamma 90.00
_symmetry_space_group_name_H-M 'C m c m'
_symmetry_Int_Tables_number 63
_symmetry_space_group_name_Hall '-C 2c 2'
loop_
_atom_site_label
_atom_site_type_symbol
_atom_site_fract_x
_atom_site_fract_y
_atom_site_fract_z
_atom_site_occupancy
Pm1 Pm 0.000 0.074 0.250 1
Ga1 Ga 0.000 0.198 0.750 1
Ge1 Ge 0.000 0.302 0.750 1
Ge2 Ge 0.000 0.373 0.250 1
Ge3 Ge 0.000 0.471 0.250 1
```

=====

This record from Alexandria describes an optimized crystal structure of Y4HPb2. The functional is GGA-PBE.

Relative energy among the computed polymorphs = 0.000 eV/atom
E = -5.751 eV/atom

The structure in CIF format:
```
data_Y4HPb2
_cell_length_a 6.380
_cell_length_b 6.560
_cell_length_c 9.183
_cell_angle_alpha 90.00
_cell_angle_beta 109.44
_cell_angle_gamma 90.00
_symmetry_space_group_name_H-M 'P 1 21/m 1'
_symmetry_Int_Tables_number 11
loop_
_symmetry_equiv_pos_as_xyz
'x,y,z'
'-x,-y,-z'
'-x,y+1/2,-z'
'x,-y+1/2,z'
loop_
_atom_site_label
_atom_site_type_symbol
_atom_site_fract_x
_atom_site_fract_y
_atom_site_fract_z
_atom_site_occupancy
Y1 Y 0.034 0.001 0.299 1
Y2 Y 0.368 0.750 0.055 1
Y3 Y 0.435 0.750 0.654 1
H1 H 0.211 0.750 0.795 1
Pb1 Pb 0.184 0.250 0.028 1
Pb2 Pb 0.349 0.250 0.602 1
```

=====

This record from Alexandria describes an optimized crystal structure of MnCrOs3. The functional is GGA-PBE.

ΔE_f = 55 kJ/mol of formula units
Relative energy among the computed polymorphs = 0.000 eV/atom
E = -10.383 eV/atom

The structure in CIF format:
```
data_MnCrOs3
_cell_length_a 12.431
_cell_length_b 4.161
_cell_length_c 5.297
_cell_angle_alpha 90.00
_cell_angle_beta 103.68
_cell_angle_gamma 90.00
_symmetry_space_group_name_H-M 'C 1 2/m 1'
_symmetry_Int_Tables_number 12
loop_
_symmetry_equiv_pos_as_xyz
'x,y,z'
'-x,-y,-z'
'-x,y,-z'
'x,-y,z'
'x+1/2,y+1/2,z'
'-x+1/2,-y+1/2,-z'
'-x+1/2,y+1/2,-z'
'x+1/2,-y+1/2,z'
loop_
_atom_site_label
_atom_site_type_symbol
_atom_site_fract_x
_atom_site_fract_y
_atom_site_fract_z
_atom_site_occupancy
Mn1 Mn 0.094 0.000 0.041 1
Cr1 Cr 0.216 0.500 0.597 1
Os1 Os 0.013 0.500 0.255 1
Os2 Os 0.104 0.000 0.562 1
Os3 Os 0.204 0.500 0.097 1
```

=====

This record from Alexandria describes an optimized crystal structure of Sr4Y. The functional is GGA-PBE.

ΔE_f = 267 kJ/mol of formula units
Relative energy among the computed polymorphs = 0.390 eV/atom
E = -2.085 eV/atom

The structure in CIF format:
```
data_Sr4Y
_cell_length_a 6.611
_cell_length_b 6.611
_cell_length_c 6.611
_cell_angle_alpha 90.00
_cell_angle_beta 90.00
_cell_angle_gamma 90.00
_symmetry_space_group_name_H-M 'P m -3 m'
_symmetry_Int_Tables_number 221
_symmetry_space_group_name_Hall '-P 4 2 3'
loop_
_atom_site_label
_atom_site_type_symbol
_atom_site_fract_x
_atom_site_fract_y
_atom_site_fract_z
_atom_site_occupancy
Sr1 Sr 0.000 0.000 0.000 1
Sr2 Sr 0.000 0.500 0.500 1
Y1 Y 0.500 0.500 0.500 1
```

=====

This record from Alexandria describes an optimized crystal structure of Y2Cd3Cu. The functional is GGA-PBE.

ΔE_f = -159 kJ/mol of formula units
E = -3.569 eV/atom

The structure in CIF format:
```
data_Y2Cd3Cu
_cell_length_a 3.468
_cell_length_b 4.815
_cell_length_c 8.364
_cell_angle_alpha 90.00
_cell_angle_beta 90.00
_cell_angle_gamma 90.00
_symmetry_space_group_name_H-M 'P m m 2'
_symmetry_Int_Tables_number 25
loop_
_symmetry_equiv_pos_as_xyz
'x,y,z'
'-x,-y,z'
'-x,y,z'
'x,-y,z'
loop_
_atom_site_label
_atom_site_type_symbol
_atom_site_fract_x
_atom_site_fract_y
_atom_site_fract_z
_atom_site_occupancy
Y1 Y 0.000 0.000 0.000 1
Y2 Y 0.000 0.500 0.460 1
Cd1 Cd 0.500 0.000 0.631 1
Cd2 Cd 0.500 0.500 0.149 1
Cd3 Cd 0.500 0.500 0.808 1
Cu1 Cu 0.500 0.000 0.307 1
```

=====

This record from Alexandria describes an optimized crystal structure of NbInSCl2. The functional is GGA-PBE.

E_form (uncorrected) = -15.53 kcal/mol of atoms
Relative energy among the computed polymorphs = 0.000 eV/atom
E = -4.799 eV/atom

The structure in CIF format:
```
data_NbInSCl2
_cell_length_a 5.198
_cell_length_b 5.198
_cell_length_c 4.933
_cell_angle_alpha 90.00
_cell_angle_beta 90.00
_cell_angle_gamma 90.00
_symmetry_space_group_name_H-M 'P 4/m m m'
_symmetry_Int_Tables_number 123
_symmetry_space_group_name_Hall '-P 4 2'
loop_
_atom_site_label
_atom_site_type_symbol
_atom_site_fract_x
_atom_site_fract_y
_atom_site_fract_z
_atom_site_occupancy
Nb1 Nb 0.000 0.000 0.000 1
In1 In 0.500 0.500 0.500 1
S1 S 0.000 0.000 0.500 1
Cl1 Cl 0.000 0.500 0.000 1
```

=====

This record from Alexandria describes an optimized crystal structure of Hf2AuO. The functional is GGA-PBE.

E_form (uncorrected) = -30.45 kcal/mol of atoms
E = -8.356 eV/atom

The structure in CIF format:
```
data_Hf2AuO
_cell_length_a 3.3393
_cell_length_b 3.3393
_cell_length_c 20.2438
_cell_angle_alpha 90.00
_cell_angle_beta 90.00
_cell_angle_gamma 120.00
_symmetry_space_group_name_H-M 'R -3 m'
_symmetry_Int_Tables_number 166
_symmetry_space_group_name_Hall '-R 3 2"'
loop_
_atom_site_label
_atom_site_type_symbol
_atom_site_fract_x
_atom_site_fract_y
_atom_site_fract_z
_atom_site_occupancy
Hf1 Hf 0.0000 0.0000 0.2263 1
Au1 Au 0.0000 0.0000 0.0000 1
O1 O 0.0000 0.0000 0.5000 1
```

=====

This record from Alexandria describes an optimized crystal structure of NdGdCdNi. The functional is GGA-PBE.

ΔE_f = -80 kJ/mol of formula units
E = -6.594 eV/atom

The structure in CIF format:
```
data_NdGdCdNi
_cell_length_a 7.311
_cell_length_b 7.311
_cell_length_c 7.311
_cell_angle_alpha 90.00
_cell_angle_beta 90.00
_cell_angle_gamma 90.00
_symmetry_space_group_name_H-M 'F -4 3 m'
_symmetry_Int_Tables_number 216
_symmetry_space_group_name_Hall 'F -4 2 3'
loop_
_atom_site_label
_atom_site_type_symbol
_atom_site_fract_x
_atom_site_fract_y
_atom_site_fract_z
_atom_site_occupancy
Nd1 Nd 0.000 0.000 0.000 1
Gd1 Gd 0.000 0.000 0.500 1
Cd1 Cd 0.250 0.250 0.750 1
Ni1 Ni 0.250 0.250 0.250 1
```

=====

Q: Number 6 is which compound?
A: MnCrOs3

=====

Q: Among the records above, which one has the highest E?
A: Sr4Y

=====

Q: The highest E belongs to which entry?
A: Sr4Y